First-principles (PBE with a Hubbard U) data for TlNiF3 after structural relaxation, as listed in Alexandria.

Cell: 10.8124 10.8124 10.8124 Å, 90.00 90.00 90.00°
Closest atoms and distances in Å follow each position.
Space group Fd-3m (No. 227, origin choice 2)
Unique sites:
Tl1 0.0000 0.0000 0.0000  6 F 2.75
Ni1 0.0000 0.0000 0.5000  6 F 2.05
F1 0.0678 0.3750 0.8750  2 Ni 2.05

Values from the calculation:
magnetic moment = 32.00 μB per cell
total energy = -328.030 eV/cell
calculated volume = 15.8 Å³/atom